A relaxed structure of CaPm4PrS8. Source: Alexandria, functional PBE-GGA.

extended XYZ file:
```
14
Lattice="-5.521 3.346 -5.220 -4.730 -4.905 -4.743 -8.149 -0.690 1.574" Properties=species:S:1:pos:R:3 pbc="T T T"
S -4.728 -0.567 -1.966
S -9.879 -1.358 -7.118
S -11.444 0.891 -4.042
S -8.507 -0.889 -1.265
S -6.960 -3.128 -4.357
S -11.023 -3.498 -3.788
S -13.683 -1.682 -6.414
S -7.378 1.235 -4.610
Pm -4.110 -0.349 0.772
Pm -6.829 1.299 -1.799
Pm -7.422 -1.060 -6.035
Pm -6.439 -2.765 -1.564
Pr -8.124 -0.689 1.548
Ca -10.979 -1.189 -2.355
```

N(E_F) in states/eV per atom: 0.249
Crystal system: trigonal
Space group: R3m (160)
Formation energy (no corrections) in eV per atom: -1.972
Magnetic moment in μB per cell: 0.000
Raw total energy in eV per atom: -6.1727